The following is a SCAN calculation of a PBEsol-optimized structure of MgCdCu2, from Alexandria via LeMat-Bulk.

## Properties
As for the symmetry: No. 8. For the total magnetic moment, the calculation gives 0.0 μB per cell. The calculation puts the calculated formation energy at -0.2 eV/f.u.

abc: 3.0859 4.3947 5.1274
angles: 113.15 107.51 90.00
Closest atoms and distances in Å follow each position.
Fractional positions:
Mg (0.4878, 0.4790, 0.9756)  7 Cu 2.70-2.95, 4 Cd 2.93-2.96
Cu (0.0171, 0.0055, 0.0342)  2 Cu 2.44, 4 Mg 2.70, 2 Cd 2.72
Cu (0.7287, 0.2403, 0.4574)  2 Cu 2.44, 4 Cd 2.71
Cd (0.2664, 0.7751, 0.5328)  7 Cu 2.71-3.00, 4 Mg 2.93-2.96